1.
A geometry-optimized NaTl3F6 structure. Source: the Alexandria database, functional GGA-PBEsol.

Its spin magnetization is 0.00 μB per cell. The formation energy from raw total energies comes out at -1998 meV/atom.

Cell lengths 8.761, 8.761, 8.761 Å; angles 90.00, 90.00, 90.00 degrees
Space group Fm-3m (No. 225)
Asymmetric unit:
1 Na 0.000 0.000 0.000 (multiplicity 4)
2 Tl 0.000 0.000 0.500 (multiplicity 4)
3 Tl 0.250 0.250 0.250 (multiplicity 8)
4 F 0.000 0.000 0.253 (multiplicity 24)

***

2.
A geometry-optimized Sr4CdW structure. Source: the Alexandria database, functional GGA-PBEsol.

The value obtained for the formation energy from the elements is 1.270 eV per atom. Its spin magnetization is 15.02 μB per cell.

Cell lengths 9.382, 9.382, 9.382 Å; angles 90.00, 90.00, 90.00 degrees
Space group F-43m (No. 216)
Asymmetric unit:
1 Sr 0.124 0.124 0.376 (multiplicity 16)
2 Cd 0.000 0.000 0.000 (multiplicity 4)
3 W 0.250 0.250 0.750 (multiplicity 4)

***

3.
A geometry-optimized SiRuIN2 structure. Source: the Alexandria database, functional GGA-PBEsol.

Its spin magnetization is 1.24 μB per cell. The formation energy from raw total energies comes out at 1095 meV/atom.

Cell lengths 3.541, 3.541, 6.588 Å; angles 90.00, 90.00, 90.00 degrees
Space group P4/mmm (No. 123)
Asymmetric unit:
1 Si 0.000 0.000 0.000 (multiplicity 1)
2 Ru 0.500 0.500 0.500 (multiplicity 1)
3 I 0.000 0.000 0.500 (multiplicity 1)
4 N 0.000 0.500 0.000 (multiplicity 2)

***

4.
A geometry-optimized Mg2RhSe structure. Source: the Alexandria database, functional GGA-PBEsol.

Its spin magnetization is 0.00 μB per cell. The formation energy from raw total energies comes out at -497 meV/atom.

Cell lengths 4.363, 4.363, 3.470 Å; angles 90.00, 90.00, 90.00 degrees
Space group P4/mmm (No. 123)
Asymmetric unit:
1 Mg 0.000 0.500 0.000 (multiplicity 2)
2 Rh 0.000 0.000 0.500 (multiplicity 1)
3 Se 0.500 0.500 0.500 (multiplicity 1)

***

> Which value of spin magnetization does entry 1 give?

0.00 μB per cell